# TcPt6Rh5

TcPt6Rh5 after structural relaxation (GGA-PBE, Alexandria via LeMat-Bulk).

formation energy: -0.0479 eV per atom

a b c (Å): 9.1400 8.3104 4.7915
angles (deg): 90.00 100.21 90.00
Last column: nearest neighbours and their distance in Å.
Space group C2/m (No. 12)
Inequivalent atoms, fractional coordinates:
Tc (0.0000, 0.0000, 0.0000) [2 per cell]  6 Pt 2.73-2.74, 6 Rh 2.74-2.75
Pt (0.2473, 0.1653, 0.2531) [8 per cell]  6 Pt 2.73-2.81, 5 Rh 2.73-2.80, 1 Tc 2.74
Pt (0.2494, 0.5000, 0.2379) [4 per cell]  6 Pt 2.73-2.79, 1 Tc 2.73, 5 Rh 2.75-2.79
Rh (0.0000, 0.1616, 0.5000) [4 per cell]  4 Rh 2.69-2.81, 6 Pt 2.73-2.80, 2 Tc 2.75
Rh (0.0000, 0.3296, 0.0000) [4 per cell]  6 Pt 2.73-2.79, 1 Tc 2.74, 5 Rh 2.77-2.83
Rh (0.0000, 0.5000, 0.5000) [2 per cell]  6 Pt 2.77-2.79, 6 Rh 2.78-2.81

***

# TcPt2Rh

TcPt2Rh after structural relaxation (GGA-PBE, Alexandria via LeMat-Bulk).

formation energy: -0.1347 eV per atom

a b c (Å): 2.7469 3.9149 5.5484
angles (deg): 90.00 90.00 90.00
Last column: nearest neighbours and their distance in Å.
Space group Pmm2 (No. 25)
Inequivalent atoms, fractional coordinates:
Tc (0.0000, 0.0000, 0.0000) [1 per cell]  4 Rh 2.71, 6 Pt 2.71-2.83, 2 Tc 2.75
Pt (0.0000, 0.0000, 0.5109) [1 per cell]  2 Tc 2.71-2.83, 6 Pt 2.75-2.80, 4 Rh 2.79
Pt (0.5000, 0.5000, 0.2485) [1 per cell]  2 Rh 2.66-2.89, 6 Pt 2.75-2.80, 4 Tc 2.76
Rh (0.5000, 0.5000, 0.7690) [1 per cell]  6 Pt 2.66-2.89, 4 Tc 2.71, 2 Rh 2.75